Entry 1:
# KCu2TeCl8

A geometry-optimized KCu2TeCl8 structure (PBE, Alexandria via LeMat-Bulk).

The structure in POSCAR format:
```
KCu2TeCl8
1.0
6.382 0.000 0.000
0.879 6.939 0.000
1.224 3.025 8.193
K Cu Te Cl
1 2 1 8
Cartesian
0.000 0.000 0.000
4.601 6.124 6.744
3.884 3.839 1.450
1.051 4.982 4.097
2.221 5.637 6.344
2.122 6.917 2.890
3.074 3.435 3.504
4.838 8.156 7.835
3.647 1.807 0.358
5.410 6.528 4.689
6.363 3.046 5.304
6.264 4.326 1.850
```

Results
* magnetic moment: 1.1 μB/cell
* N(E_F): 1.834 states/eV/f.u.
* total energy: -3.05 eV/atom



Entry 2:
# NdTm4Ga15

A geometry-optimized NdTm4Ga15 structure (PBE, Alexandria via LeMat-Bulk).

The structure in POSCAR format:
```
NdTm4Ga15
1.0
4.272 0.000 0.000
0.000 4.272 0.000
0.000 0.000 21.283
Nd Tm Ga
1 4 15
Cartesian
0.000 0.000 0.000
0.000 0.000 4.339
0.000 0.000 8.537
0.000 0.000 12.745
0.000 0.000 16.944
0.000 2.136 2.234
0.000 2.136 6.433
0.000 2.136 10.641
0.000 2.136 14.850
0.000 2.136 19.049
2.136 0.000 2.234
2.136 0.000 6.433
2.136 0.000 10.641
2.136 0.000 14.850
2.136 0.000 19.049
2.136 2.136 0.000
2.136 2.136 4.295
2.136 2.136 8.544
2.136 2.136 12.738
2.136 2.136 16.988
```

Results
* magnetic moment: 0.0 μB/cell
* energy of formation: -996.2 kJ/mol of formula units
* N(E_F): 7.845 states/eV/f.u.
* total energy: -3.92 eV/atom



Entry 3:
# Sr2In4Ag5

A geometry-optimized Sr2In4Ag5 structure (PBE, Alexandria via LeMat-Bulk).

The structure in POSCAR format:
```
Sr2In4Ag5
1.0
0.000 5.189 8.910
3.064 0.000 8.910
3.064 5.189 0.000
Sr In Ag
2 4 5
Cartesian
3.064 5.189 2.627
3.064 5.189 15.194
3.064 3.564 6.619
3.064 3.564 11.202
3.064 6.814 6.619
3.064 6.814 11.202
1.532 2.595 0.000
1.532 2.595 4.455
1.532 2.595 8.910
3.064 5.189 8.910
4.596 7.784 13.365
```

Results
* magnetic moment: 0.0 μB/cell
* energy of formation: -227.1 kJ/mol of formula units
* N(E_F): 4.816 states/eV/f.u.
* total energy: -2.81 eV/atom
* energy above the most stable polymorph in this dataset: 0 meV per atom



Copy entry 3 word for word.
# Sr2In4Ag5

A geometry-optimized Sr2In4Ag5 structure (PBE, Alexandria via LeMat-Bulk).

The structure in POSCAR format:
```
Sr2In4Ag5
1.0
0.000 5.189 8.910
3.064 0.000 8.910
3.064 5.189 0.000
Sr In Ag
2 4 5
Cartesian
3.064 5.189 2.627
3.064 5.189 15.194
3.064 3.564 6.619
3.064 3.564 11.202
3.064 6.814 6.619
3.064 6.814 11.202
1.532 2.595 0.000
1.532 2.595 4.455
1.532 2.595 8.910
3.064 5.189 8.910
4.596 7.784 13.365
```

Results
* magnetic moment: 0.0 μB/cell
* energy of formation: -227.1 kJ/mol of formula units
* N(E_F): 4.816 states/eV/f.u.
* total energy: -2.81 eV/atom
* energy above the most stable polymorph in this dataset: 0 meV per atom



Which value of total energy does entry 3 give? -2.81 eV/atom